Here is a PBEsol-optimized structure of CuPtW from Alexandria via LeMat-Bulk. Energies are from meta-GGA SCAN.

Output
* magnetization: 0.0 μB per formula unit
* formation energy: 274 meV per atom

Cell: 5.841 5.841 5.841 Å, 90.00 90.00 90.00°
Space group F-43m (No. 216)
Asymmetric unit:
1 Cu 0.000 0.000 0.000 x4
2 Pt 0.250 0.250 0.250 x4
3 W 0.000 0.000 0.500 x4

Here is a PBEsol-optimized structure of Cu2PtW from Alexandria via LeMat-Bulk. Energies are from meta-GGA SCAN.

Output
* magnetization: 0.0 μB per formula unit
* formation energy: 165 meV per atom

Cell: 5.278 8.884 2.629 Å, 90.00 116.77 90.00°
Space group C2/m (No. 12)
Asymmetric unit:
1 Cu 0.250 0.250 0.000 x4
2 Pt 0.000 0.000 0.500 x2
3 W 0.000 0.500 0.500 x2

Here is a PBEsol-optimized structure of YCu2Pt from Alexandria via LeMat-Bulk. Energies are from meta-GGA SCAN.

Output
* magnetization: 0.0 μB per formula unit
* formation energy: -497 meV per atom

Cell: 6.320 6.320 6.320 Å, 90.00 90.00 90.00°
Space group Fm-3m (No. 225)
Asymmetric unit:
1 Y 0.000 0.000 0.000 x4
2 Cu 0.250 0.250 0.250 x8
3 Pt 0.000 0.000 0.500 x4

Here is a PBEsol-optimized structure of YCuPt from Alexandria via LeMat-Bulk. Energies are from meta-GGA SCAN.

Output
* magnetization: 0.0 μB per formula unit
* formation energy: -898 meV per atom

Cell: 4.2952 4.2952 3.4828 Å, 90.00 90.00 120.00°
Space group P-6m2 (No. 187)
Asymmetric unit:
1 Y 0.0000 0.0000 0.0000 x1
2 Cu 0.3333 0.6667 0.5000 x1
3 Pt 0.6667 0.3333 0.5000 x1